[1]
{"formula": "AgWS2Cl", "functional": "PBE", "state": "relaxed", "e_form_raw_ev_per_atom": 1.336, "polymorph_energy_mev_per_atom": 1247, "lattice": [[-4.745, -0.456, -1.052], [0.492, -4.855, -0.116], [-0.989, -0.209, 4.548]], "species": ["S", "S", "Ag", "W", "Cl"], "frac_coords": [[0.000, 0.500, 0.000], [0.500, 0.000, 0.000], [0.000, 0.000, 0.000], [0.500, 0.500, 0.500], [0.000, 0.000, 0.500]]}


[2]
{"formula": "Ba2AcHoSe4", "functional": "PBE", "state": "relaxed", "e_form_raw_ev_per_atom": -1.888, "lattice": [[4.428, 0.000, 0.000], [0.000, 7.677, 0.140], [0.000, -2.678, 7.404]], "species": ["Ba", "Ba", "Ac", "Ho", "Se", "Se", "Se", "Se"], "frac_coords": [[0.500, 0.000, 0.500], [0.000, 0.500, 0.500], [0.500, 0.500, 0.000], [0.000, 0.000, 0.000], [0.500, 0.224, 0.216], [0.500, 0.776, 0.784], [0.000, 0.241, 0.775], [0.000, 0.759, 0.225]]}